Entry 1:
# In2HgSb

A geometry-optimized In2HgSb structure (PBE, Alexandria).

Cell and atoms, written as CIF:
```
data_In2HgSb
_cell_length_a 7.9090
_cell_length_b 7.9728
_cell_length_c 3.4422
_cell_angle_alpha 90.00
_cell_angle_beta 90.00
_cell_angle_gamma 90.00
_symmetry_space_group_name_H-M 'C m m m'
_symmetry_Int_Tables_number 65
_symmetry_space_group_name_Hall '-C 2 2'
loop_
_atom_site_label
_atom_site_fract_x
_atom_site_fract_y
_atom_site_fract_z
In1 0.2500 0.2500 0.0000
Hg1 0.0000 0.0000 0.5000
Sb1 0.0000 0.5000 0.5000
```

Summary:
As for the uncorrected formation energy: 0.0292 eV/atom. For the excess energy over the best structure of this formula in the dataset, the calculation gives 26 meV per atom.

***

Entry 2:
# TmZr2MoC4

A geometry-optimized TmZr2MoC4 structure (PBE, Alexandria).

Cell and atoms, written as CIF:
```
data_TmZr2MoC4
_cell_length_a 3.3308
_cell_length_b 11.6003
_cell_length_c 11.7365
_cell_angle_alpha 90.00
_cell_angle_beta 90.00
_cell_angle_gamma 90.00
_symmetry_space_group_name_H-M 'C m c m'
_symmetry_Int_Tables_number 63
_symmetry_space_group_name_Hall '-C 2c 2'
loop_
_atom_site_label
_atom_site_fract_x
_atom_site_fract_y
_atom_site_fract_z
Tm1 0.0000 0.1174 0.2500
Zr1 0.0000 0.3686 0.0350
Mo1 0.0000 0.1491 0.7500
C1 0.0000 0.0000 0.0000
C2 0.0000 0.2577 0.6211
C3 0.0000 0.4535 0.2500
```

Summary:
The formation energy is -2.4 eV/f.u.

***

Entry 3:
# CdInRu

A geometry-optimized CdInRu structure (PBE, Alexandria).

Cell and atoms, written as CIF:
```
data_CdInRu
_cell_length_a 4.3248
_cell_length_b 5.1540
_cell_length_c 5.9625
_cell_angle_alpha 88.76
_cell_angle_beta 89.94
_cell_angle_gamma 65.65
_symmetry_space_group_name_H-M 'P -1'
_symmetry_Int_Tables_number 2
_symmetry_space_group_name_Hall '-P 1'
loop_
_atom_site_label
_atom_site_fract_x
_atom_site_fract_y
_atom_site_fract_z
Cd1 0.1564 0.1882 0.4080
In1 0.4631 0.5822 0.2362
Ru1 0.2536 0.9904 0.8993
```

Summary:
The formation energy is 0.7 eV/f.u.

***

Entry 4:
# TlSnCl3

A geometry-optimized TlSnCl3 structure (PBE, Alexandria).

Cell and atoms, written as CIF:
```
data_TlSnCl3
_cell_length_a 5.5208
_cell_length_b 5.5208
_cell_length_c 5.5208
_cell_angle_alpha 90.00
_cell_angle_beta 90.00
_cell_angle_gamma 90.00
_symmetry_space_group_name_H-M 'P m -3 m'
_symmetry_Int_Tables_number 221
_symmetry_space_group_name_Hall '-P 4 2 3'
loop_
_atom_site_label
_atom_site_fract_x
_atom_site_fract_y
_atom_site_fract_z
Tl1 0.0000 0.0000 0.0000
Sn1 0.5000 0.5000 0.5000
Cl1 0.0000 0.0000 0.5000
```

Summary:
As for the uncorrected formation energy: -0.3243 eV/atom.

***

Entry 5:
# CaYAl

A geometry-optimized CaYAl structure (PBE, Alexandria).

Cell and atoms, written as CIF:
```
data_CaYAl
_cell_length_a 4.4589
_cell_length_b 3.7810
_cell_length_c 21.0268
_cell_angle_alpha 90.00
_cell_angle_beta 90.00
_cell_angle_gamma 90.00
_symmetry_space_group_name_H-M 'A m m 2'
_symmetry_Int_Tables_number 38
_symmetry_space_group_name_Hall 'A 2 -2'
loop_
_atom_site_label
_atom_site_fract_x
_atom_site_fract_y
_atom_site_fract_z
Ca1 0.0000 0.0000 0.0000
Ca2 0.5000 0.0000 0.3860
Y1 0.0000 0.0000 0.2044
Y2 0.5000 0.0000 0.6079
Al1 0.0000 0.0000 0.8309
Al2 0.5000 0.0000 0.7571
```

Summary:
For the excess energy over the best structure of this formula in the dataset, the calculation gives 90 meV per atom. The formation energy is -0.5 eV/f.u.

***

Entry 6:
# PtAu

A geometry-optimized PtAu structure (PBE, Alexandria).

Cell and atoms, written as CIF:
```
data_PtAu
_cell_length_a 2.7979
_cell_length_b 17.4286
_cell_length_c 2.8211
_cell_angle_alpha 90.00
_cell_angle_beta 90.00
_cell_angle_gamma 90.00
_symmetry_space_group_name_H-M 'C m c m'
_symmetry_Int_Tables_number 63
_symmetry_space_group_name_Hall '-C 2c 2'
loop_
_atom_site_label
_atom_site_fract_x
_atom_site_fract_y
_atom_site_fract_z
Pt1 0.0000 0.1930 0.2500
Au1 0.0000 0.4291 0.2500
```

Summary:
The formation energy is 0.1 eV/f.u.

***

Copy entry 6 word for word.
# PtAu

A geometry-optimized PtAu structure (PBE, Alexandria).

Cell and atoms, written as CIF:
```
data_PtAu
_cell_length_a 2.7979
_cell_length_b 17.4286
_cell_length_c 2.8211
_cell_angle_alpha 90.00
_cell_angle_beta 90.00
_cell_angle_gamma 90.00
_symmetry_space_group_name_H-M 'C m c m'
_symmetry_Int_Tables_number 63
_symmetry_space_group_name_Hall '-C 2c 2'
loop_
_atom_site_label
_atom_site_fract_x
_atom_site_fract_y
_atom_site_fract_z
Pt1 0.0000 0.1930 0.2500
Au1 0.0000 0.4291 0.2500
```

Summary:
The formation energy is 0.1 eV/f.u.

***

Please write out number 1 again, unchanged.
# In2HgSb

A geometry-optimized In2HgSb structure (PBE, Alexandria).

Cell and atoms, written as CIF:
```
data_In2HgSb
_cell_length_a 7.9090
_cell_length_b 7.9728
_cell_length_c 3.4422
_cell_angle_alpha 90.00
_cell_angle_beta 90.00
_cell_angle_gamma 90.00
_symmetry_space_group_name_H-M 'C m m m'
_symmetry_Int_Tables_number 65
_symmetry_space_group_name_Hall '-C 2 2'
loop_
_atom_site_label
_atom_site_fract_x
_atom_site_fract_y
_atom_site_fract_z
In1 0.2500 0.2500 0.0000
Hg1 0.0000 0.0000 0.5000
Sb1 0.0000 0.5000 0.5000
```

Summary:
As for the uncorrected formation energy: 0.0292 eV/atom. For the excess energy over the best structure of this formula in the dataset, the calculation gives 26 meV per atom.